6
Lattice="5.7406 0.0000 0.0000 0.0000 4.0562 0.0000 -0.7661 0.0000 6.5692" Properties=species:S:1:pos:R:3 comment="ThGaS4 (GGA-PBE, optimized geometry)" raw_formation_energy_ev_per_atom=-0.863 spacegroup="P2/m (10)" pbc="T T T"
Th 0.0000 0.0000 0.0000
Ga -0.3830 2.0281 3.2846
S 0.8100 0.0000 4.1774
S 1.2962 2.0281 1.3467
S 3.6783 2.0281 5.2226
S 4.1645 0.0000 2.3918

---

10
Lattice="9.5058 0.0000 0.0000 0.0000 9.5058 0.0000 0.0000 0.0000 3.8533" Properties=species:S:1:pos:R:3 comment="LaY2Th2 (GGA-PBE, optimized geometry)" e_above_lowest_polymorph_mev_per_atom=171 delta_e_f_mev_per_atom=205 spacegroup="P4/mbm (127)" pbc="T T T"
La 0.0000 0.0000 0.0000
La 4.7529 4.7529 0.0000
Y 1.5684 3.1845 1.9267
Y 3.1845 7.9374 1.9267
Y 6.3213 1.5684 1.9267
Y 7.9374 6.3213 1.9267
Th 1.2276 5.9805 0.0000
Th 3.5253 1.2276 0.0000
Th 5.9805 8.2782 0.0000
Th 8.2782 3.5253 0.0000

---

10
Lattice="3.5223 0.0000 0.0000 0.0000 3.5223 0.0000 0.0000 0.0000 17.6419" Properties=species:S:1:pos:R:3 comment="ErTm4Zn5 (GGA-PBE, optimized geometry)" delta_e_f_mev_per_atom=-351 spacegroup="P4/mmm (123)" pbc="T T T"
Er 0.0000 0.0000 0.0000
Tm 0.0000 0.0000 3.5393
Tm 0.0000 0.0000 7.0620
Tm 0.0000 0.0000 10.5798
Tm 0.0000 0.0000 14.1025
Zn 1.7612 1.7612 1.7827
Zn 1.7612 1.7612 5.3043
Zn 1.7612 1.7612 8.8209
Zn 1.7612 1.7612 12.3376
Zn 1.7612 1.7612 15.8592